No. 1
## Cr2PtPb (PBE)

Data for a relaxed structure of Cr2PtPb.

Geometry as POSCAR:
```
Cr2PtPb
1.0
-3.089 -1.643 -2.985
2.120 0.351 -2.387
1.606 -4.426 0.775
Cr Pb Pt
2 1 1
direct
0.000 0.125 0.922
0.500 0.125 0.308
0.000 0.625 0.432
0.500 0.625 0.838
```

## Properties
DFT total energy = -6.910 eV per atom
Mass density = 11.93 g/cm³
SG = Pmm2, No. 25

No. 2
## Fe2NiAg (PBE)

Data for a relaxed structure of Fe2NiAg.

Geometry as POSCAR:
```
Fe2NiAg
1.0
4.675 0.010 0.000
1.765 4.329 0.000
-3.220 -2.170 2.604
Ag Fe Ni
1 2 1
direct
0.750 0.250 0.500
0.000 0.000 0.000
0.500 0.500 0.000
0.250 0.750 0.500
```

## Properties
DFT total energy = -6.126 eV per atom
E above lowest polymorph = 77 meV per atom
Mass density = 8.77 g/cm³
SG = I4/mmm, No. 139

No. 3
## RbMg2ZrHg (PBE)

Data for a relaxed structure of RbMg2ZrHg.

Geometry as POSCAR:
```
RbMg2ZrHg
1.0
5.910 0.000 0.000
0.000 5.626 0.000
0.000 0.000 5.910
Mg Rb Hg Zr
2 1 1 1
direct
0.000 0.000 0.500
0.500 0.000 0.000
0.500 0.500 0.500
0.000 0.500 0.000
0.000 0.000 0.000
```

## Properties
DFT total energy = -2.048 eV per atom
Mass density = 3.60 g/cm³
SG = P4/mmm, No. 123

No. 4
## Nd6Ho2Tm3 (PBE)

Data for a relaxed structure of Nd6Ho2Tm3.

Geometry as POSCAR:
```
Nd6Ho2Tm3
1.0
5.778 -0.947 2.125
-0.832 7.591 2.598
4.191 6.375 12.707
Nd Ho Tm
6 2 3
direct
0.091 0.637 0.729
0.730 0.090 0.818
0.909 0.363 0.271
0.270 0.910 0.182
0.817 0.723 0.546
0.183 0.277 0.454
0.640 0.458 0.089
0.360 0.542 0.911
0.000 0.000 0.000
0.548 0.821 0.361
0.452 0.179 0.639
```

## Properties
DFT total energy = -4.634 eV per atom
E above lowest polymorph = 0 meV per atom
Mass density = 7.80 g/cm³
SG = P-1, No. 2

No. 5
## TaV3N (PBE)

Data for a relaxed structure of TaV3N.

Geometry as POSCAR:
```
TaV3N
1.0
4.698 0.000 0.000
0.000 4.698 0.000
0.000 0.000 4.698
V Ta N
3 1 1
direct
0.000 0.500 0.000
0.000 0.000 0.500
0.500 0.000 0.000
0.000 0.000 0.000
0.500 0.500 0.500
```

## Properties
DFT total energy = -6.944 eV per atom
E above lowest polymorph = 3035 meV per atom
Mass density = 5.57 g/cm³
SG = Pm-3m, No. 221
E_form (uncorrected) = 1236 kJ/mol of formula units

No. 6
## PmTh2S5 (PBE)

Data for a relaxed structure of PmTh2S5.

Geometry as POSCAR:
```
PmTh2S5
1.0
7.538 0.000 0.000
0.000 8.038 0.000
0.000 0.000 12.246
Pm Th S
4 8 20
direct
0.424 0.250 0.505
0.576 0.750 0.495
0.924 0.750 0.995
0.076 0.250 0.005
0.489 0.500 0.820
0.511 0.500 0.180
0.989 0.500 0.680
0.511 0.000 0.180
0.011 0.500 0.320
0.489 0.000 0.820
0.011 0.000 0.320
0.989 0.000 0.680
0.034 0.250 0.501
0.966 0.750 0.499
0.534 0.750 0.999
0.466 0.250 0.001
0.340 0.960 0.608
0.660 0.040 0.392
0.840 0.040 0.892
0.660 0.460 0.392
0.160 0.960 0.108
0.340 0.540 0.608
0.160 0.540 0.108
0.840 0.460 0.892
0.205 0.250 0.787
0.795 0.750 0.213
0.705 0.750 0.713
0.295 0.250 0.287
0.679 0.250 0.685
0.321 0.750 0.315
0.179 0.750 0.815
0.821 0.250 0.185
```

## Properties
DFT total energy = -7.016 eV per atom
Mass density = 6.89 g/cm³
SG = Pnma, No. 62
E_form (uncorrected) = -1535 kJ/mol of formula units

No. 7
## CrPdRh (PBE)

Data for a relaxed structure of CrPdRh.

Geometry as POSCAR:
```
CrPdRh
1.0
-1.624 -1.978 -3.831
-4.431 -1.197 0.661
-0.486 4.690 0.659
Cr Pd Rh
2 2 2
direct
0.194 0.148 0.834
0.036 0.583 0.551
0.362 0.618 0.189
0.868 0.113 0.197
0.674 0.620 0.842
0.557 0.111 0.543
```

## Properties
DFT total energy = -7.344 eV per atom
E above lowest polymorph = 83 meV per atom
Mass density = 10.45 g/cm³
SG = P-1, No. 2

No. 8
## K4TcRu (PBE)

Data for a relaxed structure of K4TcRu.

Geometry as POSCAR:
```
K4TcRu
1.0
0.000 4.614 4.614
4.614 0.000 4.614
4.614 4.614 0.000
K Tc Ru
4 1 1
direct
0.873 0.376 0.376
0.376 0.376 0.873
0.376 0.873 0.376
0.376 0.376 0.376
0.000 0.000 0.000
0.750 0.750 0.750
```

## Properties
DFT total energy = -2.315 eV per atom
Mass density = 3.00 g/cm³
SG = F-43m, No. 216

No. 9
## Al2ReSe (PBE)

Data for a relaxed structure of Al2ReSe.

Geometry as POSCAR:
```
Al2ReSe
1.0
5.014 0.028 0.080
3.927 3.117 0.080
2.020 0.711 4.044
Re Al Se
1 2 1
direct
0.750 0.750 0.750
0.999 0.999 0.001
0.501 0.501 0.499
0.250 0.250 0.250
```

## Properties
DFT total energy = -5.712 eV per atom
Mass density = 8.52 g/cm³
SG = Immm, No. 71
E_form (uncorrected) = 55 kJ/mol of formula units

No. 10
## SrLiSi2 (PBE)

Data for a relaxed structure of SrLiSi2.

Geometry as POSCAR:
```
SrLiSi2
1.0
9.374 -0.026 -0.015
8.755 3.348 -0.015
8.755 1.605 2.939
Li Si Sr
1 2 1
direct
0.750 0.750 0.750
0.009 0.009 0.009
0.491 0.491 0.491
0.250 0.250 0.250
```

## Properties
DFT total energy = -3.217 eV per atom
E above lowest polymorph = 808 meV per atom
Mass density = 2.68 g/cm³
SG = R-3m, No. 166
E_form (uncorrected) = 152 kJ/mol of formula units

No. 11
## NiHg2Br (PBE)

Data for a relaxed structure of NiHg2Br.

Geometry as POSCAR:
```
NiHg2Br
1.0
-3.261 0.646 -2.151
1.936 -1.136 -3.276
-1.809 -5.889 0.973
Br Hg Ni
1 2 1
direct
0.000 0.500 0.500
0.000 0.000 0.000
0.500 0.500 0.000
0.500 0.000 0.500
```

## Properties
DFT total energy = -1.661 eV per atom
E above lowest polymorph = 307 meV per atom
Mass density = 9.14 g/cm³
SG = Pmmm, No. 47
E_form (uncorrected) = 137 kJ/mol of formula units

No. 12
## Nd16Sm7Y6 (PBE)

Data for a relaxed structure of Nd16Sm7Y6.

Geometry as POSCAR:
```
Nd16Sm7Y6
1.0
-6.135 9.592 0.043
-9.357 0.744 6.444
-0.048 6.685 9.216
Nd Sm Y
16 7 6
direct
0.875 0.875 0.375
0.875 0.875 0.875
0.875 0.375 0.875
0.375 0.875 0.875
0.125 0.125 0.125
0.125 0.125 0.625
0.125 0.625 0.125
0.625 0.125 0.125
0.651 0.651 0.046
0.651 0.651 0.651
0.651 0.046 0.651
0.046 0.651 0.651
0.349 0.349 0.349
0.349 0.349 0.954
0.349 0.954 0.349
0.954 0.349 0.349
0.000 0.000 0.000
0.500 0.000 0.500
0.000 0.500 0.000
0.000 0.500 0.500
0.500 0.000 0.000
0.000 0.000 0.500
0.500 0.500 0.000
0.269 0.731 0.269
0.731 0.269 0.731
0.731 0.269 0.269
0.269 0.731 0.731
0.731 0.731 0.269
0.269 0.269 0.731
```

## Properties
DFT total energy = -4.900 eV per atom
Mass density = 6.20 g/cm³
SG = Fm-3m, No. 225

No. 13
## KCoP2 (PBE)

Data for a relaxed structure of KCoP2.

Geometry as POSCAR:
```
KCoP2
1.0
6.726 0.000 0.000
0.000 6.726 0.000
3.363 3.363 4.224
P K Co
4 2 2
direct
0.769 0.125 0.250
0.981 0.625 0.250
0.375 0.231 0.750
0.875 0.019 0.750
0.500 0.500 0.000
0.250 0.750 0.500
0.000 0.000 0.000
0.750 0.250 0.500
```

## Properties
DFT total energy = -4.859 eV per atom
E above lowest polymorph = 237 meV per atom
Mass density = 2.78 g/cm³
SG = I-42d, No. 122

No. 14
## K3Pr3VSe8 (PBE)

Data for a relaxed structure of K3Pr3VSe8.

Geometry as POSCAR:
```
K3Pr3VSe8
1.0
-8.117 0.798 -2.150
3.803 -7.506 -0.601
-1.951 3.069 8.509
K Pr V Se
3 3 1 8
direct
0.000 0.000 0.000
0.000 0.500 0.000
0.500 0.500 0.000
0.500 0.000 0.500
0.500 0.500 0.500
0.000 0.500 0.500
0.000 0.000 0.500
0.261 0.523 0.284
0.739 0.477 0.716
0.789 0.579 0.309
0.211 0.421 0.691
0.789 0.019 0.309
0.211 0.981 0.691
0.230 0.019 0.309
0.770 0.981 0.691
```

## Properties
DFT total energy = -5.080 eV per atom
Mass density = 4.19 g/cm³
SG = R-3m, No. 166
E_form (uncorrected) = -2081 kJ/mol of formula units

No. 15
## MgGaHg2Bi (PBE)

Data for a relaxed structure of MgGaHg2Bi.

Geometry as POSCAR:
```
MgGaHg2Bi
1.0
5.299 0.000 0.000
0.000 5.199 0.000
0.000 0.000 5.299
Mg Bi Ga Hg
1 1 1 2
direct
0.000 0.000 0.000
0.500 0.500 0.500
0.000 0.500 0.000
0.000 0.000 0.500
0.500 0.000 0.000
```

## Properties
DFT total energy = -1.507 eV per atom
Mass density = 8.01 g/cm³
SG = P4/mmm, No. 123

No. 16
## HoMgZrCu (PBE)

Data for a relaxed structure of HoMgZrCu.

Geometry as POSCAR:
```
HoMgZrCu
1.0
4.945 0.000 0.000
2.473 4.283 0.000
2.473 1.428 4.038
Mg Cu Ho Zr
1 1 1 1
direct
0.750 0.750 0.750
0.250 0.250 0.250
0.500 0.500 0.500
0.000 0.000 0.000
```

## Properties
DFT total energy = -4.650 eV per atom
Mass density = 6.68 g/cm³
SG = F-43m, No. 216

No. 17
## La2CuAu (PBE)

Data for a relaxed structure of La2CuAu.

Geometry as POSCAR:
```
La2CuAu
1.0
-3.278 -3.199 -6.443
-2.262 -6.263 4.260
-5.978 -3.035 -0.301
Au Cu La
2 2 4
direct
0.000 0.000 0.000
0.750 0.250 0.500
0.500 0.500 0.000
0.250 0.750 0.500
0.612 0.125 0.250
0.138 0.625 0.250
0.375 0.388 0.750
0.875 0.862 0.750
```

## Properties
DFT total energy = -4.470 eV per atom
Mass density = 7.70 g/cm³
SG = I-42d, No. 122

No. 18
## In3Bi2Cl9 (PBE)

Data for a relaxed structure of In3Bi2Cl9.

Geometry as POSCAR:
```
In3Bi2Cl9
1.0
-6.395 7.486 0.349
-7.151 -4.514 -5.054
-4.950 -3.236 7.880
In Bi Cl
6 4 18
direct
0.463 0.750 0.037
0.250 0.963 0.537
0.963 0.537 0.250
0.037 0.463 0.750
0.750 0.037 0.463
0.537 0.250 0.963
0.145 0.145 0.145
0.645 0.645 0.645
0.855 0.855 0.855
0.355 0.355 0.355
0.723 0.939 0.081
0.061 0.919 0.277
0.250 0.410 0.090
0.561 0.777 0.419
0.590 0.910 0.750
0.910 0.750 0.590
0.223 0.581 0.439
0.581 0.439 0.223
0.919 0.277 0.061
0.081 0.723 0.939
0.419 0.561 0.777
0.410 0.090 0.250
0.777 0.419 0.561
0.090 0.250 0.410
0.439 0.223 0.581
0.750 0.590 0.910
0.939 0.081 0.723
0.277 0.061 0.919
```

## Properties
DFT total energy = -3.222 eV per atom
Mass density = 3.81 g/cm³
SG = R-3c, No. 167
E_form (uncorrected) = -1207 kJ/mol of formula units

No. 19
## RbFePdSe2 (PBE)

Data for a relaxed structure of RbFePdSe2.

Geometry as POSCAR:
```
RbFePdSe2
1.0
3.813 0.000 0.000
0.000 7.431 1.110
0.000 -1.215 8.130
Rb Fe Pd Se
2 2 2 4
direct
0.000 0.500 0.750
0.000 0.500 0.250
0.000 0.000 0.000
0.000 0.000 0.500
0.500 0.000 0.250
0.500 0.000 0.750
0.500 0.784 0.000
0.500 0.216 0.500
0.500 0.784 0.500
0.500 0.216 0.000
```

## Properties
DFT total energy = -4.790 eV per atom
Mass density = 5.72 g/cm³
SG = Pmmm, No. 47
E_form (uncorrected) = -227 kJ/mol of formula units

No. 20
## K2In2Ag (PBE)

Data for a relaxed structure of K2In2Ag.

Geometry as POSCAR:
```
K2In2Ag
1.0
-1.023 -3.017 -3.451
3.927 1.246 -2.254
5.530 -6.711 1.032
K Ag In
2 1 2
direct
0.750 0.250 0.500
0.250 0.750 0.500
0.000 0.000 0.000
0.415 0.415 0.171
0.585 0.585 0.829
```

## Properties
DFT total energy = -1.756 eV per atom
E above lowest polymorph = 374 meV per atom
Mass density = 3.86 g/cm³
SG = I4/mmm, No. 139